Density functional theory data (PBE) for an optimized crystal structure of TbPr5Te8.

abc: 8.2803 8.2803 8.2803
angles: 109.71 108.99 109.71
Fractional coordinates of all 14 atoms:
Tb  0.2500  0.5000  0.7500
Pr  0.9948  0.3701  0.1260
Pr  0.8740  0.8688  0.2441
Pr  0.7559  0.6299  0.6247
Pr  0.5000  0.0000  0.5000
Pr  0.3753  0.1312  0.0052
Te  0.1289  0.7460  0.0208
Te  0.9792  0.1081  0.7252
Te  0.7778  0.2495  0.3760
Te  0.6240  0.4018  0.8735
Te  0.4717  0.5982  0.2222
Te  0.6171  0.8919  0.8711
Te  0.2748  0.2540  0.3829
Te  0.1265  0.7505  0.5283

Properties
**Raw formation energy**: -1423.4 meV/atom
**M_tot**: 0.00 μB/cell
**Symmetry**: No. 82